RbTbInTe3 | the Alexandria database | PBE-GGA | optimized geometry; E_form (uncorrected) = -0.979 eV/atom
1.0
9.579 0.000 0.000
0.000 4.334 0.000
-4.010 0.000 11.361
Rb Tb In Te
2 2 2 6
Cartesian
1.079 1.083 3.192
4.490 3.250 8.169
0.086 3.250 9.616
5.484 1.083 1.745
-1.115 1.083 6.499
6.684 3.250 4.862
-2.123 1.083 9.181
0.917 3.250 6.571
3.351 3.250 1.246
2.218 1.083 10.114
4.652 1.083 4.789
7.693 3.250 2.180

RbInTc3 | the Alexandria database | PBE-GGA | optimized geometry; polymorph energy (0 for the lowest one) = 0.0000 eV/atom; formation enthalpy at 0 K = 2.196 eV per atom
1.0
5.225 0.000 0.000
0.000 5.225 0.000
0.000 0.000 5.225
Rb In Tc
1 1 3
Cartesian
0.000 0.000 0.000
2.612 2.612 2.612
0.000 2.612 2.612
2.612 0.000 2.612
2.612 2.612 0.000

> Which formula does entry 2 have?

RbInTc3